The following is a PBE calculation of a relaxed structure of KMo2PdW, from Alexandria via LeMat-Bulk.

Calculated values
Crystal system = tetragonal
Formation energy = 3005 meV per atom
Raw total energy = -5.176 eV per atom

Geometry as CIF:
```
data_KMo2PdW
_cell_length_a 4.520
_cell_length_b 4.520
_cell_length_c 4.575
_cell_angle_alpha 90.00
_cell_angle_beta 90.00
_cell_angle_gamma 90.00
_symmetry_space_group_name_H-M 'P 4/m m m'
_symmetry_Int_Tables_number 123
_symmetry_space_group_name_Hall '-P 4 2'
loop_
_atom_site_label
_atom_site_fract_x
_atom_site_fract_y
_atom_site_fract_z
K1 0.000 0.000 0.000
Mo1 0.000 0.500 0.000
Pd1 0.000 0.000 0.500
W1 0.500 0.500 0.500
```

***

The following is a PBE calculation of a relaxed structure of ErNiHgPt, from Alexandria via LeMat-Bulk.

Calculated values
Crystal system = cubic
Formation energy = -501 meV per atom
Raw total energy = -4.673 eV per atom

Geometry as CIF:
```
data_ErNiHgPt
_cell_length_a 6.643
_cell_length_b 6.643
_cell_length_c 6.643
_cell_angle_alpha 90.00
_cell_angle_beta 90.00
_cell_angle_gamma 90.00
_symmetry_space_group_name_H-M 'F -4 3 m'
_symmetry_Int_Tables_number 216
_symmetry_space_group_name_Hall 'F -4 2 3'
loop_
_atom_site_label
_atom_site_fract_x
_atom_site_fract_y
_atom_site_fract_z
Er1 0.000 0.000 0.000
Ni1 0.250 0.250 0.250
Hg1 0.000 0.000 0.500
Pt1 0.250 0.250 0.750
```

***

The following is a PBE calculation of a relaxed structure of MgWAu, from Alexandria via LeMat-Bulk.

Calculated values
Crystal system = cubic
Formation energy = 773 meV per atom
Raw total energy = -5.169 eV per atom
Offset from the most stable computed form = 0.591 eV per atom

Geometry as CIF:
```
data_MgWAu
_cell_length_a 6.222
_cell_length_b 6.222
_cell_length_c 6.222
_cell_angle_alpha 90.00
_cell_angle_beta 90.00
_cell_angle_gamma 90.00
_symmetry_space_group_name_H-M 'F -4 3 m'
_symmetry_Int_Tables_number 216
_symmetry_space_group_name_Hall 'F -4 2 3'
loop_
_atom_site_label
_atom_site_fract_x
_atom_site_fract_y
_atom_site_fract_z
Mg1 0.000 0.000 0.000
W1 0.000 0.000 0.500
Au1 0.250 0.250 0.250
```

***

The following is a PBE calculation of a relaxed structure of Be2SiSb, from Alexandria via LeMat-Bulk.

Calculated values
Crystal system = cubic
ΔE_f (raw) = 0.8584 eV per atom
Raw total energy = -3.391 eV per atom
Offset from the most stable computed form = 0.539 eV per atom

Geometry as CIF:
```
data_Be2SiSb
_cell_length_a 6.325
_cell_length_b 6.325
_cell_length_c 6.325
_cell_angle_alpha 90.00
_cell_angle_beta 90.00
_cell_angle_gamma 90.00
_symmetry_space_group_name_H-M 'F -4 3 m'
_symmetry_Int_Tables_number 216
_symmetry_space_group_name_Hall 'F -4 2 3'
loop_
_atom_site_label
_atom_site_fract_x
_atom_site_fract_y
_atom_site_fract_z
Be1 0.000 0.000 0.000
Be2 0.250 0.250 0.250
Si1 0.250 0.250 0.750
Sb1 0.000 0.000 0.500
```

***

Asked for total magnetic moment across the records above, the calculation gives 0.0; 0.0; 3.8; 0.0 μB/cell in order.
Asked for calculated density across the records above, the calculation gives 9.26; 14.09; 11.17; 4.41 g/cm3 in order.